1.
Here is a relaxed Ba5C3 crystal from Alexandria via LeMat-Bulk. Energies are from PBE.

Calculated values
Excess energy over the best structure of this formula in the dataset in meV/atom: 166
N(E_F) in states/eV per cell: 8.949
Energy of formation from the pure elements in meV per atom: 1028.7
VASP energy in eV/atom: -3.63
Total magnetic moment in μB per formula unit: 2.0

The structure in CIF format:
```
data_Ba5C3
_cell_length_a 8.185
_cell_length_b 13.191
_cell_length_c 4.462
_cell_angle_alpha 90.00
_cell_angle_beta 90.00
_cell_angle_gamma 90.00
_symmetry_space_group_name_H-M 'C m m m'
_symmetry_Int_Tables_number 65
_symmetry_space_group_name_Hall '-C 2 2'
loop_
_atom_site_label
_atom_site_type_symbol
_atom_site_fract_x
_atom_site_fract_y
_atom_site_fract_z
Ba1 Ba 0.000 0.000 0.000
Ba2 Ba 0.197 0.500 0.500
Ba3 Ba 0.250 0.250 0.000
C1 C 0.000 0.146 0.500
C2 C 0.000 0.500 0.000
```

2.
Here is a relaxed PrNd4Dy3S8 crystal from Alexandria via LeMat-Bulk. Energies are from PBE.

Calculated values
N(E_F) in states/eV per cell: 24.039
VASP energy in eV/atom: -6.42
Total magnetic moment in μB per formula unit: 0.0

The structure in CIF format:
```
data_PrNd4Dy3S8
_cell_length_a 8.0078
_cell_length_b 8.0078
_cell_length_c 19.7902
_cell_angle_alpha 90.00
_cell_angle_beta 90.00
_cell_angle_gamma 120.00
_symmetry_space_group_name_H-M 'R -3 m'
_symmetry_Int_Tables_number 166
_symmetry_space_group_name_Hall '-R 3 2"'
loop_
_atom_site_label
_atom_site_type_symbol
_atom_site_fract_x
_atom_site_fract_y
_atom_site_fract_z
Pr1 Pr 0.0000 0.0000 0.0000
Nd1 Nd 0.0000 0.0000 0.5000
Nd2 Nd 0.0000 0.5000 0.5000
Dy1 Dy 0.0000 0.5000 0.0000
S1 S 0.0000 0.0000 0.2555
S2 S 0.0089 0.5044 0.2535
```

3.
Here is a relaxed Dy4AgPd2 crystal from Alexandria via LeMat-Bulk. Energies are from PBE.

Calculated values
Excess energy over the best structure of this formula in the dataset in meV/atom: 19
N(E_F) in states/eV per cell: 16.826
Energy of formation from the pure elements in meV per atom: -540.3
VASP energy in eV/atom: -5.06
Total magnetic moment in μB per formula unit: 0.0

The structure in CIF format:
```
data_Dy4AgPd2
_cell_length_a 4.9803
_cell_length_b 4.9803
_cell_length_c 24.2634
_cell_angle_alpha 90.00
_cell_angle_beta 90.00
_cell_angle_gamma 120.00
_symmetry_space_group_name_H-M 'R -3 m'
_symmetry_Int_Tables_number 166
_symmetry_space_group_name_Hall '-R 3 2"'
loop_
_atom_site_label
_atom_site_type_symbol
_atom_site_fract_x
_atom_site_fract_y
_atom_site_fract_z
Dy1 Dy 0.0000 0.0000 0.1216
Dy2 Dy 0.0000 0.0000 0.3723
Ag1 Ag 0.0000 0.0000 0.5000
Pd1 Pd 0.0000 0.0000 0.2513
```

4.
Here is a relaxed DySnF6 crystal from Alexandria via LeMat-Bulk. Energies are from PBE.

Calculated values
N(E_F) in states/eV per cell: 7.294
VASP energy in eV/atom: -5.56
Total magnetic moment in μB per formula unit: 0.3

The structure in CIF format:
```
data_DySnF6
_cell_length_a 5.602
_cell_length_b 8.619
_cell_length_c 5.591
_cell_angle_alpha 90.00
_cell_angle_beta 101.48
_cell_angle_gamma 90.00
_symmetry_space_group_name_H-M 'C 1 2/m 1'
_symmetry_Int_Tables_number 12
_symmetry_space_group_name_Hall '-C 2y'
loop_
_atom_site_label
_atom_site_type_symbol
_atom_site_fract_x
_atom_site_fract_y
_atom_site_fract_z
Dy1 Dy 0.000 0.000 0.000
Sn1 Sn 0.000 0.500 0.500
F1 F 0.241 0.000 0.739
F2 F 0.241 0.346 0.755
```